The following is a GGA-PBE calculation of crystalline YbAlB14 at its relaxed geometry, from Alexandria via LeMat-Bulk.

```
YbAlB14
1.0
-3.784 -1.649 -6.015
-6.077 -1.171 3.863
4.091 5.952 -1.029
Al B Yb
2 28 2
Direct
0.000 0.500 0.000
0.000 0.000 0.500
0.601 0.602 0.324
0.968 0.169 0.295
0.983 0.357 0.626
0.017 0.643 0.374
0.368 0.333 0.035
0.770 0.143 0.626
0.244 0.412 0.833
0.921 0.088 0.833
0.798 0.833 0.965
0.373 0.173 0.705
0.632 0.667 0.965
0.222 0.898 0.000
0.399 0.398 0.676
0.968 0.673 0.799
0.032 0.831 0.705
0.778 0.102 0.000
0.222 0.223 0.324
0.230 0.857 0.374
0.373 0.669 0.201
0.079 0.912 0.167
0.627 0.827 0.295
0.778 0.777 0.676
0.032 0.327 0.201
0.399 0.723 0.000
0.601 0.277 0.000
0.627 0.331 0.799
0.756 0.588 0.167
0.202 0.167 0.035
0.603 0.250 0.353
0.397 0.750 0.647
```

The following is a GGA-PBE calculation of crystalline AlZnB at its relaxed geometry, from Alexandria via LeMat-Bulk.

```
AlZnB
1.0
-3.944 -0.640 -6.339
-2.778 -1.648 1.895
-2.205 4.743 0.893
Zn Al B
4 4 4
Direct
0.382 0.750 0.484
0.882 0.750 0.016
0.118 0.250 0.984
0.618 0.250 0.516
0.869 0.750 0.515
0.369 0.750 0.985
0.631 0.250 0.015
0.131 0.250 0.485
0.873 0.250 0.273
0.127 0.750 0.727
0.373 0.250 0.227
0.627 0.750 0.773
```

The following is a GGA-PBE calculation of crystalline Al3ZnB at its relaxed geometry, from Alexandria via LeMat-Bulk.

```
Al3ZnB
1.0
4.624 0.000 0.000
0.000 4.624 0.000
0.000 0.000 4.624
Al B Zn
3 1 1
Direct
0.000 0.000 0.500
0.500 0.000 0.000
0.000 0.500 0.000
0.500 0.500 0.500
0.000 0.000 0.000
```

The following is a GGA-PBE calculation of crystalline AlZnB at its relaxed geometry, from Alexandria via LeMat-Bulk.

```
AlZnB
1.0
-1.811 -2.350 0.465
3.542 -7.792 -5.614
0.619 -1.932 2.198
Al Zn B
2 2 2
Direct
0.186 0.225 0.263
0.160 0.585 0.595
0.734 0.011 0.599
0.282 0.802 0.931
0.660 0.417 0.934
0.972 0.440 0.266
```

The following is a GGA-PBE calculation of crystalline AlZnB at its relaxed geometry, from Alexandria via LeMat-Bulk.

```
AlZnB
1.0
-3.404 1.348 -0.420
1.285 -0.742 3.373
2.469 6.380 0.462
B Al Zn
2 2 2
Direct
0.333 0.667 0.250
0.667 0.333 0.750
0.333 0.667 0.750
0.667 0.333 0.250
0.000 0.000 0.000
0.000 0.000 0.500
```

The following is a GGA-PBE calculation of crystalline AlZnB at its relaxed geometry, from Alexandria via LeMat-Bulk.

```
AlZnB
1.0
3.003 0.047 0.000
0.115 7.255 -0.001
0.000 0.000 3.625
Zn B Al
2 2 2
Direct
0.175 0.984 0.841
0.682 0.814 0.341
0.207 0.403 0.341
0.699 0.506 0.341
0.198 0.590 0.841
0.712 0.184 0.341
```

The following is a GGA-PBE calculation of crystalline AlZnB at its relaxed geometry, from Alexandria via LeMat-Bulk.

```
AlZnB
1.0
-2.675 1.371 -0.072
-1.987 -3.901 -0.474
-3.311 0.434 5.688
Al B Zn
2 2 2
Direct
0.734 0.998 0.103
0.012 0.444 0.326
0.366 0.767 0.471
0.956 0.936 0.382
0.602 0.022 0.734
0.001 0.511 0.837
```

The following is a GGA-PBE calculation of crystalline AlZnB at its relaxed geometry, from Alexandria via LeMat-Bulk.

```
AlZnB
1.0
-0.221 -2.914 0.421
4.724 -1.474 -7.760
2.369 0.081 1.822
Al B Zn
2 2 2
Direct
0.931 0.569 0.318
0.430 0.257 0.188
0.930 0.373 0.743
0.430 0.454 0.762
0.923 0.817 0.957
0.423 0.010 0.557
```

The following is a GGA-PBE calculation of crystalline AlZnB at its relaxed geometry, from Alexandria via LeMat-Bulk.

```
AlZnB
1.0
2.996 0.000 0.000
0.000 9.546 0.000
1.498 0.000 2.595
B Zn Al
2 2 2
Direct
0.683 0.407 0.501
0.350 0.420 0.168
0.351 0.020 0.167
0.684 0.807 0.501
0.017 0.240 0.835
0.017 0.587 0.834
```

The following is a GGA-PBE calculation of crystalline AlZnB at its relaxed geometry, from Alexandria via LeMat-Bulk.

```
AlZnB
1.0
-2.401 1.744 0.776
-2.546 -1.103 -5.401
-1.612 -3.158 2.110
Al Zn B
2 2 2
Direct
0.688 0.239 0.263
0.188 0.587 0.580
0.188 0.850 0.154
0.688 0.977 0.689
0.688 0.381 0.814
0.188 0.446 0.028
```

The following is a GGA-PBE calculation of crystalline AlZnB at its relaxed geometry, from Alexandria via LeMat-Bulk.

```
AlZnB
1.0
3.020 -0.013 -0.017
1.520 6.074 0.136
-1.489 4.820 4.525
B Zn Al
2 2 2
Direct
0.478 0.291 0.109
0.135 0.098 0.229
0.811 0.595 0.077
0.477 0.593 0.409
0.441 0.146 0.888
0.971 0.808 0.610
```

The following is a GGA-PBE calculation of crystalline AlZnB at its relaxed geometry, from Alexandria via LeMat-Bulk.

```
AlZnB
1.0
5.732 0.000 0.000
0.000 3.171 0.000
0.000 0.000 9.568
Al Zn B
4 4 4
Direct
0.476 0.750 0.728
0.024 0.250 0.228
0.976 0.750 0.772
0.524 0.250 0.272
0.364 0.750 0.073
0.636 0.250 0.927
0.136 0.250 0.573
0.864 0.750 0.427
0.500 0.000 0.500
0.000 0.000 0.000
0.500 0.500 0.500
0.000 0.500 0.000
```

no.,N(E_F) (states/eV per cell),VASP energy (eV per cell),energy of formation (eV/atom)
1,2.97,-203.63,-0.191
2,0.14,-45.36,0.118
3,3.90,-12.75,1.287
4,0.81,-23.22,0.027
5,1.55,-20.36,0.504
6,1.12,-22.56,0.138
7,1.67,-22.34,0.175
8,1.81,-22.31,0.180
9,1.18,-23.34,0.009
10,1.38,-22.77,0.103
11,1.88,-22.27,0.186
12,3.62,-43.19,0.299